# 1
CrRe2Os: optimized geometry, PBE.

```
CrRe2Os
1.0
4.707 -0.001 -0.004
3.914 2.614 -0.004
0.770 0.233 4.619
Cr Os Re
1 1 2
Cartesian
7.043 2.134 3.459
2.348 0.711 1.153
4.713 1.428 2.312
9.374 2.841 4.607
```

Summary:
For the energy of formation, the calculation gives 0.115 eV per atom. The raw total energy comes out at -11.32 eV/atom. The calculation puts the polymorph energy (0 for the lowest one) at 19 meV per atom. The symmetry is C2/m, No. 12.

# 2
CrRe2Os: optimized geometry, PBE.

```
CrRe2Os
1.0
0.000 3.054 3.054
3.054 0.000 3.054
3.054 3.054 0.000
Os Re Cr
1 2 1
Cartesian
3.054 3.054 3.054
1.527 1.527 1.527
4.582 4.582 4.582
0.000 0.000 0.000
```

Summary:
For the energy of formation, the calculation gives 0.344 eV per atom. The raw total energy comes out at -11.09 eV/atom. The calculation puts the polymorph energy (0 for the lowest one) at 248 meV per atom. The symmetry is Fm-3m, No. 225.

# 3
CrRe2Os: optimized geometry, PBE.

```
CrRe2Os
1.0
-2.246 -2.762 2.116
-0.862 -1.090 -2.338
3.498 -3.711 -1.130
Cr Re Os
1 2 1
Cartesian
1.481 -2.269 -1.388
-0.590 -2.779 -0.201
0.003 -0.078 -0.099
0.813 -4.837 -1.398
```

Summary:
For the energy of formation, the calculation gives 0.133 eV per atom. The raw total energy comes out at -11.30 eV/atom. The calculation puts the polymorph energy (0 for the lowest one) at 37 meV per atom. The symmetry is Pm, No. 6.

# 4
CrRe2Os: optimized geometry, PBE.

```
CrRe2Os
1.0
8.988 0.013 0.008
8.571 2.707 0.008
8.571 1.328 2.359
Re Cr Os
2 1 1
Cartesian
26.105 4.044 2.372
6.470 1.002 0.588
13.037 2.020 1.185
19.714 3.054 1.792
```

Summary:
For the energy of formation, the calculation gives 0.137 eV per atom. The raw total energy comes out at -11.30 eV/atom. The calculation puts the polymorph energy (0 for the lowest one) at 42 meV per atom. The symmetry is R3m, No. 160.

# 5
CrRe2Os: optimized geometry, PBE.

```
CrRe2Os
1.0
4.342 0.000 0.000
2.171 3.760 0.000
2.171 1.253 3.545
Cr Re Os
1 2 1
Cartesian
4.342 2.507 1.773
0.000 0.000 0.000
6.513 3.760 2.659
2.171 1.253 0.886
```

Summary:
For the energy of formation, the calculation gives 0.289 eV per atom. The raw total energy comes out at -11.15 eV/atom. The calculation puts the polymorph energy (0 for the lowest one) at 193 meV per atom. The symmetry is F-43m, No. 216.

# 6
CrRe4Os: optimized geometry, PBE.

```
CrRe4Os
1.0
0.000 3.595 3.595
3.595 0.000 3.595
3.595 3.595 0.000
Re Os Cr
4 1 1
Cartesian
4.493 4.493 4.493
2.697 2.697 4.493
2.697 4.493 2.697
4.493 2.697 2.697
0.000 0.000 0.000
1.797 1.797 1.797
```

Summary:
For the energy of formation, the calculation gives 0.491 eV per atom. The raw total energy comes out at -11.28 eV/atom. The symmetry is F-43m, No. 216.

# 7
CrRe2Os: optimized geometry, PBE.

```
CrRe2Os
1.0
5.065 0.003 0.008
2.294 4.515 -0.008
-3.197 -3.045 2.482
Re Os Cr
2 1 1
Cartesian
3.829 2.351 0.000
7.209 4.426 0.000
1.388 1.865 1.237
2.774 -0.392 1.245
```

Summary:
For the energy of formation, the calculation gives 0.226 eV per atom. The raw total energy comes out at -11.21 eV/atom. The calculation puts the polymorph energy (0 for the lowest one) at 130 meV per atom. The symmetry is Immm, No. 71.

# 8
CrRe2Os: optimized geometry, PBE.

```
CrRe2Os
1.0
-1.383 -7.878 4.139
0.512 -8.678 2.354
1.259 -7.564 4.724
Re Cr Os
2 1 1
Cartesian
0.195 -12.122 5.637
0.388 -24.058 11.188
0.097 -6.030 2.804
0.291 -18.090 8.413
```

Summary:
For the energy of formation, the calculation gives 0.177 eV per atom. The raw total energy comes out at -11.26 eV/atom. The calculation puts the polymorph energy (0 for the lowest one) at 81 meV per atom. The symmetry is R-3m, No. 166.

Q: raw total energy of number 3 (CrRe2Os)?
A: -11.30 eV/atom

Q: Which of these has the highest energy of formation?
A: CrRe4Os

Q: Which formula does entry 8 have?
A: CrRe2Os